*one*
The following is a PBE calculation of a geometry-optimized Sr4CdHg3 structure, from Alexandria via LeMat-Bulk.

Lattice parameters (Å, degrees): 4.4207 5.0274 12.4983 90.00 90.00 90.00
Atoms (fractional coordinates):
Sr: 0.5000 0.5000 0.3613
Sr: 0.0000 0.5000 0.8546
Sr: 0.0000 0.0000 0.1447
Sr: 0.5000 0.0000 0.6411
Cd: 0.5000 0.5000 0.0744
Hg: 0.0000 0.5000 0.5807
Hg: 0.0000 0.0000 0.4203
Hg: 0.5000 0.0000 0.9230

Density (Mg/m³): 6.4
M_tot (μB/cell): 0.0
D(E_F) (states/eV/atom): 1.118

***

*two*
The following is a PBE calculation of a geometry-optimized Sr4CdHg3 structure, from Alexandria via LeMat-Bulk.

Lattice parameters (Å, degrees): 5.6799 5.6799 9.0047 108.32 108.38 90.00
Atoms (fractional coordinates):
Sr: 0.3738 0.3738 0.7475
Sr: 0.6262 0.6262 0.2525
Sr: 0.1263 0.1263 0.2525
Sr: 0.8737 0.8737 0.7475
Hg: 0.0000 0.5000 0.0000
Hg: 0.7483 0.2484 0.4966
Hg: 0.2517 0.7516 0.5034
Cd: 0.5000 0.0000 0.0000

Density (Mg/m³): 6.8
M_tot (μB/cell): 0.0
D(E_F) (states/eV/atom): 0.761

***

Winner for stability: *two*

***

*one*
The following is a PBE calculation of a geometry-optimized Sr2Cd3Hg5 structure, from Alexandria via LeMat-Bulk.

Lattice parameters (Å, degrees): 6.5717 9.7945 9.7945 83.35 70.40 70.40
Atoms (fractional coordinates):
Sr: 0.1267 0.6143 0.1323
Sr: 0.6267 0.1323 0.6143
Sr: 0.8733 0.3857 0.8677
Sr: 0.3733 0.8677 0.3857
Cd: 0.3685 0.4995 0.7635
Cd: 0.8685 0.7635 0.4995
Cd: 0.6315 0.5005 0.2365
Cd: 0.1315 0.2365 0.5005
Cd: 0.2500 0.0000 0.0000
Cd: 0.7500 0.0000 0.0000
Hg: 0.3866 0.2660 0.9609
Hg: 0.8866 0.9609 0.2660
Hg: 0.6134 0.7340 0.0391
Hg: 0.1134 0.0391 0.7340
Hg: 0.4876 0.7624 0.7624
Hg: 0.5124 0.2376 0.2376
Hg: 0.7500 0.5000 0.5000
Hg: 0.2500 0.5000 0.5000
Hg: 0.0124 0.2376 0.2376
Hg: 0.9876 0.7624 0.7624

Density (Mg/m³): 9.0
M_tot (μB/cell): 0.0
D(E_F) (states/eV/atom): 0.487

***

*two*
The following is a PBE calculation of a geometry-optimized Sr2Cd3Hg5 structure, from Alexandria via LeMat-Bulk.

Lattice parameters (Å, degrees): 6.6663 9.8769 9.8769 71.17 70.28 70.28
Atoms (fractional coordinates):
Sr: 0.1357 0.5960 0.1326
Sr: 0.6357 0.1326 0.5960
Sr: 0.8643 0.4040 0.8674
Sr: 0.3643 0.8674 0.4040
Cd: 0.3502 0.5588 0.7409
Cd: 0.8502 0.7409 0.5588
Cd: 0.6498 0.4412 0.2591
Cd: 0.1498 0.2591 0.4412
Cd: 0.2500 0.0000 0.0000
Cd: 0.7500 0.0000 0.0000
Hg: 0.4084 0.2686 0.9147
Hg: 0.9084 0.9147 0.2686
Hg: 0.5916 0.7314 0.0853
Hg: 0.0916 0.0853 0.7314
Hg: 0.4544 0.7956 0.7956
Hg: 0.5456 0.2044 0.2044
Hg: 0.7500 0.5000 0.5000
Hg: 0.2500 0.5000 0.5000
Hg: 0.0456 0.2044 0.2044
Hg: 0.9544 0.7956 0.7956

Density (Mg/m³): 9.0
M_tot (μB/cell): 0.0
D(E_F) (states/eV/atom): 0.386

***

Winner for stability: *two*

***

*one*
The following is a PBE calculation of a geometry-optimized SrYCdHg structure, from Alexandria via LeMat-Bulk.

Lattice parameters (Å, degrees): 5.4722 5.4722 5.4722 60.00 60.00 60.00
Atoms (fractional coordinates):
Y: 0.7500 0.7500 0.7500
Sr: 0.2500 0.2500 0.2500
Hg: 0.5000 0.5000 0.5000
Cd: 0.0000 0.0000 0.0000

Density (Mg/m³): 7.0
M_tot (μB/cell): 0.0
D(E_F) (states/eV/atom): 0.964

***

*two*
The following is a PBE calculation of a geometry-optimized SrYCdHg structure, from Alexandria via LeMat-Bulk.

Lattice parameters (Å, degrees): 3.8708 3.8708 7.7714 90.00 90.00 90.00
Atoms (fractional coordinates):
Sr: 0.0000 0.0000 0.8604
Y: 0.0000 0.0000 0.3519
Cd: 0.5000 0.5000 0.5764
Hg: 0.5000 0.5000 0.1392

Density (Mg/m³): 7.0
M_tot (μB/cell): 0.0
D(E_F) (states/eV/atom): 0.764

***

Winner for stability: *two*

***

*one*
The following is a PBE calculation of a geometry-optimized TaCd3Hg structure, from Alexandria via LeMat-Bulk.

Lattice parameters (Å, degrees): 5.2579 5.2579 5.2579 90.00 90.00 90.00
Atoms (fractional coordinates):
Cd: 0.0000 0.5000 0.0000
Cd: 0.0000 0.0000 0.5000
Cd: 0.5000 0.0000 0.0000
Hg: 0.0000 0.0000 0.0000
Ta: 0.5000 0.5000 0.5000

Density (Mg/m³): 8.2
M_tot (μB/cell): 3.4
D(E_F) (states/eV/atom): 1.063

***

*two*
The following is a PBE calculation of a geometry-optimized TaCd3Hg structure, from Alexandria via LeMat-Bulk.

Lattice parameters (Å, degrees): 5.6153 5.6153 5.6153 90.00 90.00 90.00
Atoms (fractional coordinates):
Cd: 0.0000 0.5000 0.0000
Cd: 0.0000 0.0000 0.5000
Cd: 0.5000 0.0000 0.0000
Hg: 0.5000 0.5000 0.5000
Ta: 0.0000 0.0000 0.0000

Density (Mg/m³): 6.7
M_tot (μB/cell): 3.6
D(E_F) (states/eV/atom): 0.690

***

Winner for stability: *two*

***

*one*
The following is a PBE calculation of a geometry-optimized Ta3CdHg structure, from Alexandria via LeMat-Bulk.

Lattice parameters (Å, degrees): 4.9699 4.9699 4.9699 90.00 90.00 90.00
Atoms (fractional coordinates):
Cd: 0.0000 0.0000 0.0000
Hg: 0.5000 0.5000 0.5000
Ta: 0.0000 0.5000 0.0000
Ta: 0.0000 0.0000 0.5000
Ta: 0.5000 0.0000 0.0000

Density (Mg/m³): 11.6
M_tot (μB/cell): 1.0
D(E_F) (states/eV/atom): 1.231

***

*two*
The following is a PBE calculation of a geometry-optimized Ta3CdHg structure, from Alexandria via LeMat-Bulk.

Lattice parameters (Å, degrees): 5.0385 5.0385 5.0385 90.00 90.00 90.00
Atoms (fractional coordinates):
Cd: 0.5000 0.5000 0.5000
Hg: 0.0000 0.0000 0.0000
Ta: 0.0000 0.5000 0.0000
Ta: 0.0000 0.0000 0.5000
Ta: 0.5000 0.0000 0.0000

Density (Mg/m³): 11.1
M_tot (μB/cell): 0.8
D(E_F) (states/eV/atom): 1.711

***

Winner for stability: *two*